1.
Material: Rb2Cd3Se4
Method: DFT, PBE-GGA
State: optimized geometry

a b c (Å): 14.898 11.190 6.958
angles (deg): 90.00 90.00 90.00
Atoms (fractional coordinates):
Rb (0.000, 0.000, 0.000)
Rb (0.000, 0.500, 0.000)
Rb (0.038, 0.250, 0.478)
Rb (0.462, 0.750, 0.978)
Rb (0.500, 0.000, 0.500)
Rb (0.500, 0.500, 0.500)
Rb (0.538, 0.250, 0.022)
Rb (0.962, 0.750, 0.522)
Cd (0.206, 0.750, 0.248)
Cd (0.245, 0.095, 0.181)
Cd (0.245, 0.405, 0.181)
Cd (0.255, 0.595, 0.681)
Cd (0.255, 0.905, 0.681)
Cd (0.294, 0.250, 0.748)
Cd (0.706, 0.750, 0.252)
Cd (0.745, 0.095, 0.319)
Cd (0.745, 0.405, 0.319)
Cd (0.755, 0.595, 0.819)
Cd (0.755, 0.905, 0.819)
Cd (0.794, 0.250, 0.752)
Se (0.139, 0.538, 0.399)
Se (0.139, 0.962, 0.399)
Se (0.140, 0.250, 0.957)
Se (0.152, 0.750, 0.887)
Se (0.348, 0.250, 0.387)
Se (0.360, 0.750, 0.457)
Se (0.361, 0.038, 0.899)
Se (0.361, 0.462, 0.899)
Se (0.639, 0.538, 0.101)
Se (0.639, 0.962, 0.101)
Se (0.640, 0.250, 0.543)
Se (0.652, 0.750, 0.613)
Se (0.848, 0.250, 0.113)
Se (0.860, 0.750, 0.043)
Se (0.861, 0.038, 0.601)
Se (0.861, 0.462, 0.601)

SG: Pnma
ΔE_f (raw): -0.855 eV per atom
E_tot: -2.924 eV per atom

---

2.
Material: RbCd3Se3
Method: DFT, PBE-GGA
State: optimized geometry

a b c (Å): 9.617 9.617 9.617
angles (deg): 49.70 49.70 49.70
Atoms (fractional coordinates):
Rb (0.167, 0.167, 0.167)
Rb (0.833, 0.833, 0.833)
Cd (0.056, 0.705, 0.374)
Cd (0.295, 0.626, 0.944)
Cd (0.374, 0.056, 0.705)
Cd (0.626, 0.944, 0.295)
Cd (0.705, 0.374, 0.056)
Cd (0.944, 0.295, 0.626)
Se (0.061, 0.406, 0.742)
Se (0.258, 0.939, 0.594)
Se (0.406, 0.742, 0.061)
Se (0.594, 0.258, 0.939)
Se (0.742, 0.061, 0.406)
Se (0.939, 0.594, 0.258)

SG: R-3
DOS(E_F): 0.82 states/eV/f.u.
ΔE_f (raw): -0.606 eV per atom
E_tot: -2.629 eV per atom

---

3.
Material: RbCdSe
Method: DFT, PBE-GGA
State: optimized geometry

a b c (Å): 5.288 4.420 10.445
angles (deg): 90.00 104.57 90.00
Atoms (fractional coordinates):
Rb (0.000, 0.000, 0.000)
Rb (0.239, 0.500, 0.475)
Cd (0.658, 0.000, 0.314)
Cd (0.797, 0.000, 0.592)
Se (0.580, 0.500, 0.163)
Se (0.868, 0.500, 0.735)

SG: Pm
ΔE_f (raw): -0.686 eV per atom
E_tot: -2.475 eV per atom

---

4.
Material: RbCd3Se
Method: DFT, PBE-GGA
State: optimized geometry

a b c (Å): 5.749 5.749 5.749
angles (deg): 90.00 90.00 90.00
Atoms (fractional coordinates):
Rb (0.000, 0.000, 0.000)
Cd (0.000, 0.500, 0.500)
Cd (0.500, 0.000, 0.500)
Cd (0.500, 0.500, 0.000)
Se (0.500, 0.500, 0.500)

SG: Pm-3m
DOS(E_F): 3.46 states/eV/f.u.
ΔE to the lowest computed polymorph: 0.00 eV per formula unit
ΔE_f (raw): 0.098 eV per atom
E_tot: -1.342 eV per atom

---

5.
Material: RbCd2Se2
Method: DFT, PBE-GGA
State: optimized geometry

a b c (Å): 7.574 7.574 7.584
angles (deg): 112.22 112.22 103.66
Atoms (fractional coordinates):
Rb (0.125, 0.875, 0.750)
Rb (0.875, 0.125, 0.250)
Cd (0.239, 0.489, 0.980)
Cd (0.489, 0.239, 0.480)
Cd (0.511, 0.761, 0.520)
Cd (0.761, 0.511, 0.020)
Se (0.175, 0.825, 0.250)
Se (0.425, 0.575, 0.750)
Se (0.575, 0.425, 0.250)
Se (0.825, 0.175, 0.750)

SG: C2/c
DOS(E_F): 1.72 states/eV/f.u.
ΔE to the lowest computed polymorph: 0.00 eV per formula unit
ΔE_f (raw): -0.606 eV per atom
E_tot: -2.560 eV per atom

---

6.
Material: RbCd2Se2
Method: DFT, PBE-GGA
State: optimized geometry

a b c (Å): 9.034 9.034 4.145
angles (deg): 90.00 90.00 90.00
Atoms (fractional coordinates):
Rb (0.000, 0.000, 0.000)
Rb (0.500, 0.500, 0.000)
Cd (0.109, 0.391, 0.000)
Cd (0.391, 0.891, 0.000)
Cd (0.609, 0.109, 0.000)
Cd (0.891, 0.609, 0.000)
Se (0.233, 0.267, 0.500)
Se (0.267, 0.767, 0.500)
Se (0.733, 0.233, 0.500)
Se (0.767, 0.733, 0.500)

SG: P4/mbm
DOS(E_F): 2.02 states/eV/f.u.
ΔE to the lowest computed polymorph: 0.70 eV per formula unit
ΔE_f (raw): -0.466 eV per atom
E_tot: -2.419 eV per atom

---

7.
Material: Rb2CdSe2
Method: DFT, PBE-GGA
State: optimized geometry

a b c (Å): 8.009 8.009 5.188
angles (deg): 90.00 90.00 90.00
Atoms (fractional coordinates):
Rb (0.143, 0.357, 0.000)
Rb (0.357, 0.857, 0.000)
Rb (0.643, 0.143, 0.000)
Rb (0.857, 0.643, 0.000)
Cd (0.000, 0.000, 0.500)
Cd (0.500, 0.500, 0.500)
Se (0.177, 0.677, 0.500)
Se (0.323, 0.177, 0.500)
Se (0.677, 0.823, 0.500)
Se (0.823, 0.323, 0.500)

SG: P4/mbm
DOS(E_F): 0.00 states/eV/f.u.
ΔE_f (raw): -0.693 eV per atom
E_tot: -2.657 eV per atom

---

8.
Material: Rb2CdSe2
Method: DFT, PBE-GGA
State: optimized geometry

a b c (Å): 8.421 8.421 8.421
angles (deg): 133.67 133.67 67.61
Atoms (fractional coordinates):
Rb (0.250, 0.750, 0.500)
Rb (0.750, 0.250, 0.500)
Cd (0.000, 0.000, 0.000)
Se (0.175, 0.175, 0.000)
Se (0.825, 0.825, 0.000)

SG: I4/mmm
DOS(E_F): 0.00 states/eV/f.u.
ΔE_f (raw): -0.878 eV per atom
E_tot: -2.842 eV per atom

---

9.
Material: RbCd3Se
Method: DFT, PBE-GGA
State: optimized geometry

a b c (Å): 6.835 6.835 6.835
angles (deg): 90.00 90.00 90.00
Atoms (fractional coordinates):
Rb (0.000, 0.000, 0.000)
Cd (0.000, 0.000, 0.500)
Cd (0.000, 0.500, 0.000)
Cd (0.500, 0.000, 0.000)
Se (0.500, 0.500, 0.500)

SG: Pm-3m
DOS(E_F): 17.80 states/eV/f.u.
ΔE to the lowest computed polymorph: 2.79 eV per formula unit
ΔE_f (raw): 0.655 eV per atom
E_tot: -0.784 eV per atom

---

10.
Material: Rb3CdSe2
Method: DFT, PBE-GGA
State: optimized geometry

a b c (Å): 9.664 9.664 9.664
angles (deg): 131.58 74.91 126.63
Atoms (fractional coordinates):
Rb (0.017, 0.750, 0.267)
Rb (0.250, 0.250, 0.000)
Rb (0.483, 0.750, 0.733)
Rb (0.517, 0.250, 0.267)
Rb (0.750, 0.750, 0.000)
Rb (0.983, 0.250, 0.733)
Cd (0.000, 0.500, 0.500)
Cd (0.500, 0.000, 0.500)
Se (0.124, 0.244, 0.368)
Se (0.376, 0.744, 0.120)
Se (0.624, 0.256, 0.880)
Se (0.876, 0.756, 0.632)

SG: Ibam
DOS(E_F): 3.59 states/eV/f.u.
ΔE_f (raw): -0.770 eV per atom
E_tot: -2.568 eV per atom

---

11.
Material: Rb2CdSiSe4
Method: DFT, PBE-GGA
State: optimized geometry

a b c (Å): 14.396 12.949 7.759
angles (deg): 84.11 63.47 32.42
Atoms (fractional coordinates):
Rb (0.058, 0.058, 0.692)
Rb (0.308, 0.308, 0.942)
Rb (0.692, 0.692, 0.058)
Rb (0.942, 0.942, 0.308)
Cd (0.125, 0.125, 0.125)
Cd (0.875, 0.875, 0.875)
Si (0.375, 0.375, 0.375)
Si (0.625, 0.625, 0.625)
Se (0.019, 0.627, 0.538)
Se (0.317, 0.538, 0.627)
Se (0.373, 0.981, 0.683)
Se (0.462, 0.683, 0.981)
Se (0.538, 0.317, 0.019)
Se (0.627, 0.019, 0.317)
Se (0.683, 0.462, 0.373)
Se (0.981, 0.373, 0.462)

SG: Fddd
DOS(E_F): 0.00 states/eV/f.u.
ΔE_f (raw): -0.852 eV per atom
E_tot: -3.629 eV per atom

---

12.
Material: RbCd2SiSe4
Method: DFT, PBE-GGA
State: optimized geometry

a b c (Å): 6.871 6.795 7.309
angles (deg): 58.18 57.16 64.66
Atoms (fractional coordinates):
Rb (0.000, 0.000, 0.000)
Cd (0.258, 0.258, 0.242)
Cd (0.758, 0.758, 0.742)
Si (0.498, 0.498, 0.502)
Se (0.165, 0.540, 0.835)
Se (0.454, 0.824, 0.176)
Se (0.540, 0.165, 0.460)
Se (0.824, 0.454, 0.546)

SG: Fmm2
DOS(E_F): 3.16 states/eV/f.u.
ΔE_f (raw): -0.589 eV per atom
E_tot: -3.358 eV per atom

---

13.
Material: Rb3Sm2CdSe6
Method: DFT, PBE-GGA
State: optimized geometry

a b c (Å): 7.408 7.408 8.446
angles (deg): 98.41 98.41 119.97
Atoms (fractional coordinates):
Rb (0.000, 0.000, 0.000)
Rb (0.334, 0.666, 0.000)
Rb (0.666, 0.334, 0.000)
Sm (0.167, 0.833, 0.500)
Sm (0.833, 0.167, 0.500)
Cd (0.500, 0.500, 0.500)
Se (0.102, 0.434, 0.301)
Se (0.234, 0.234, 0.699)
Se (0.434, 0.102, 0.301)
Se (0.566, 0.898, 0.699)
Se (0.766, 0.766, 0.301)
Se (0.898, 0.566, 0.699)

SG: C2/m
DOS(E_F): 13.50 states/eV/f.u.
ΔE_f (raw): -1.317 eV per atom
E_tot: -4.164 eV per atom

---

14.
Material: Rb2SrCd2Se4
Method: DFT, PBE-GGA
State: optimized geometry

a b c (Å): 8.741 8.741 8.359
angles (deg): 108.72 108.72 29.50
Atoms (fractional coordinates):
Rb (0.123, 0.123, 0.048)
Rb (0.877, 0.877, 0.952)
Sr (0.000, 0.000, 0.500)
Cd (0.329, 0.329, 0.522)
Cd (0.671, 0.671, 0.478)
Se (0.207, 0.207, 0.682)
Se (0.480, 0.480, 0.745)
Se (0.520, 0.520, 0.255)
Se (0.793, 0.793, 0.318)

SG: C2/m
ΔE_f (raw): -1.160 eV per atom
E_tot: -3.314 eV per atom

---

15.
Material: RbTaCdSe4
Method: DFT, PBE-GGA
State: optimized geometry

a b c (Å): 6.326 7.992 9.965
angles (deg): 90.00 105.55 90.00
Atoms (fractional coordinates):
Rb (0.215, 0.250, 0.388)
Rb (0.785, 0.750, 0.612)
Ta (0.337, 0.750, 0.208)
Ta (0.663, 0.250, 0.792)
Cd (0.176, 0.250, 0.824)
Cd (0.824, 0.750, 0.176)
Se (0.051, 0.750, 0.990)
Se (0.183, 0.750, 0.407)
Se (0.439, 0.001, 0.782)
Se (0.439, 0.499, 0.782)
Se (0.561, 0.501, 0.218)
Se (0.561, 0.999, 0.218)
Se (0.817, 0.250, 0.593)
Se (0.949, 0.250, 0.010)

SG: P2_1/m
DOS(E_F): 0.00 states/eV/f.u.
ΔE_f (raw): -0.806 eV per atom
E_tot: -4.759 eV per atom

---

16.
Material: Rb2TlCdSe
Method: DFT, PBE-GGA
State: optimized geometry

a b c (Å): 6.946 6.946 5.678
angles (deg): 90.00 90.00 90.00
Atoms (fractional coordinates):
Rb (0.000, 0.500, 0.000)
Rb (0.500, 0.000, 0.000)
Tl (0.000, 0.000, 0.000)
Cd (0.500, 0.500, 0.500)
Se (0.000, 0.000, 0.500)

SG: P4/mmm
DOS(E_F): 2.42 states/eV/f.u.
ΔE_f (raw): -0.066 eV per atom
E_tot: -1.806 eV per atom

---

17.
Material: Rb3Tm2CdSe6
Method: DFT, PBE-GGA
State: optimized geometry

a b c (Å): 7.239 7.239 8.407
angles (deg): 98.22 98.22 119.97
Atoms (fractional coordinates):
Rb (0.000, 0.000, 0.000)
Rb (0.336, 0.664, 0.000)
Rb (0.664, 0.336, 0.000)
Tm (0.167, 0.833, 0.500)
Tm (0.833, 0.167, 0.500)
Cd (0.500, 0.500, 0.500)
Se (0.096, 0.435, 0.305)
Se (0.225, 0.225, 0.694)
Se (0.435, 0.096, 0.305)
Se (0.565, 0.904, 0.695)
Se (0.775, 0.775, 0.306)
Se (0.904, 0.565, 0.695)

SG: C2/m
DOS(E_F): 10.76 states/eV/f.u.
ΔE_f (raw): -1.319 eV per atom
E_tot: -4.124 eV per atom

---

18.
Material: RbTmCdSe3
Method: DFT, PBE-GGA
State: optimized geometry

a b c (Å): 9.195 4.247 10.390
angles (deg): 90.00 109.53 90.00
Atoms (fractional coordinates):
Rb (0.218, 0.250, 0.239)
Rb (0.782, 0.750, 0.761)
Tm (0.332, 0.750, 0.867)
Tm (0.668, 0.250, 0.133)
Cd (0.084, 0.250, 0.612)
Cd (0.916, 0.750, 0.388)
Se (0.119, 0.250, 0.872)
Se (0.229, 0.750, 0.551)
Se (0.469, 0.750, 0.149)
Se (0.531, 0.250, 0.851)
Se (0.771, 0.250, 0.449)
Se (0.881, 0.750, 0.128)

SG: P2_1/m
DOS(E_F): 0.00 states/eV/f.u.
ΔE_f (raw): -1.328 eV per atom
E_tot: -4.129 eV per atom

---

19.
Material: Rb2UCdSe4
Method: DFT, PBE-GGA
State: optimized geometry

a b c (Å): 7.438 4.242 8.387
angles (deg): 90.00 108.69 90.00
Atoms (fractional coordinates):
Rb (0.000, 0.000, 0.000)
Rb (0.500, 0.500, 0.000)
U (0.000, 0.500, 0.500)
Cd (0.500, 0.000, 0.500)
Se (0.215, 0.000, 0.703)
Se (0.267, 0.500, 0.316)
Se (0.733, 0.500, 0.684)
Se (0.785, 0.000, 0.297)

SG: P2/m
DOS(E_F): 4.07 states/eV/f.u.
ΔE_f (raw): -1.055 eV per atom
E_tot: -4.565 eV per atom

---

20.
Material: Rb3U3CdSe8
Method: DFT, PBE-GGA
State: optimized geometry

a b c (Å): 8.380 8.380 9.478
angles (deg): 116.23 116.23 60.01
Atoms (fractional coordinates):
Rb (0.000, 0.000, 0.000)
Rb (0.000, 0.500, 0.000)
Rb (0.500, 0.000, 0.000)
U (0.000, 0.500, 0.500)
U (0.500, 0.000, 0.500)
U (0.500, 0.500, 0.500)
Cd (0.000, 0.000, 0.500)
Se (0.234, 0.234, 0.692)
Se (0.236, 0.724, 0.694)
Se (0.267, 0.267, 0.303)
Se (0.276, 0.764, 0.306)
Se (0.724, 0.236, 0.694)
Se (0.733, 0.733, 0.697)
Se (0.764, 0.276, 0.306)
Se (0.766, 0.766, 0.308)

SG: C2/m
DOS(E_F): 12.74 states/eV/f.u.
ΔE_f (raw): -1.143 eV per atom
E_tot: -5.514 eV per atom